An optimized crystal structure of TaOs4, computed with GGA-PBE. Values from VASP.

Structure (Quantum ESPRESSO input):
```
&SYSTEM
  ibrav = 0, nat = 5, ntyp = 2
/
ATOMIC_SPECIES
Ta 180.95 Ta.upf
Os 190.23 Os.upf
ATOMIC_POSITIONS angstrom
Ta 0.000 0.000 0.000
Os -1.437 1.437 1.437
Os 1.437 1.437 1.437
Os 1.437 -1.437 1.437
Os 1.437 1.437 -1.437
CELL_PARAMETERS angstrom
-2.874 2.874 2.874
2.874 -2.874 2.874
2.874 2.874 -2.874
```

Summary:
- Polymorph energy (0 for the lowest one): 1756.1 meV/atom
- V: 95 Å³/cell
- VASP energy: -9.635 eV/atom

=====

An optimized crystal structure of Ta4Os3, computed with GGA-PBE. Values from VASP.

Structure (Quantum ESPRESSO input):
```
&SYSTEM
  ibrav = 0, nat = 7, ntyp = 2
/
ATOMIC_SPECIES
Ta 180.95 Ta.upf
Os 190.23 Os.upf
ATOMIC_POSITIONS angstrom
Ta 13.789 4.629 13.121
Ta 9.215 3.094 8.769
Ta 6.955 2.335 6.618
Ta 2.382 0.800 2.266
Os 0.000 0.000 0.000
Os 11.476 3.853 10.920
Os 4.695 1.576 4.468
CELL_PARAMETERS angstrom
9.297 0.931 7.050
6.873 4.498 8.338
-9.128 -3.980 -6.152
```

Summary:
- Polymorph energy (0 for the lowest one): 24.0 meV/atom
- V: 116 Å³/cell
- VASP energy: -11.742 eV/atom

=====

An optimized crystal structure of TaOs4, computed with GGA-PBE. Values from VASP.

Structure (Quantum ESPRESSO input):
```
&SYSTEM
  ibrav = 0, nat = 5, ntyp = 2
/
ATOMIC_SPECIES
Os 190.23 Os.upf
Ta 180.95 Ta.upf
ATOMIC_POSITIONS angstrom
Os 0.282 -1.607 2.236
Os 0.035 -4.293 2.041
Os -0.410 -5.489 -0.343
Os -0.163 -2.803 -0.147
Ta 0.000 0.000 0.000
CELL_PARAMETERS angstrom
-2.635 -2.474 -1.446
1.855 -4.213 -1.414
0.652 -0.410 4.753
```

Summary:
- Polymorph energy (0 for the lowest one): 0.0 meV/atom
- V: 76 Å³/cell
- VASP energy: -11.392 eV/atom

=====

An optimized crystal structure of TaOs2, computed with GGA-PBE. Values from VASP.

Structure (Quantum ESPRESSO input):
```
&SYSTEM
  ibrav = 0, nat = 6, ntyp = 2
/
ATOMIC_SPECIES
Os 190.23 Os.upf
Ta 180.95 Ta.upf
ATOMIC_POSITIONS angstrom
Os -1.499 2.221 -5.836
Os -3.237 0.841 -1.582
Os -1.184 0.853 -3.480
Os -3.553 2.209 -3.939
Ta -1.788 3.150 -2.062
Ta -2.948 -0.088 -5.356
CELL_PARAMETERS angstrom
-0.918 3.658 -0.971
-0.006 0.374 -6.395
-3.812 -0.971 -0.053
```

Summary:
- V: 93 Å³/cell
- VASP energy: -11.588 eV/atom

=====

An optimized crystal structure of Ta4Os3, computed with GGA-PBE. Values from VASP.

Structure (Quantum ESPRESSO input):
```
&SYSTEM
  ibrav = 0, nat = 7, ntyp = 2
/
ATOMIC_SPECIES
Ta 180.95 Ta.upf
Os 190.23 Os.upf
ATOMIC_POSITIONS angstrom
Ta 0.000 0.000 1.259
Ta 0.000 0.000 3.795
Ta 2.593 -1.497 2.527
Ta 2.593 1.497 2.527
Os 1.297 2.246 0.000
Os 2.593 0.000 0.000
Os 1.297 -2.246 0.000
CELL_PARAMETERS angstrom
2.593 -4.492 0.000
2.593 4.492 0.000
0.000 0.000 5.055
```

Summary:
- Polymorph energy (0 for the lowest one): 0.0 meV/atom
- V: 118 Å³/cell
- VASP energy: -11.766 eV/atom

=====

An optimized crystal structure of TaOs2, computed with GGA-PBE. Values from VASP.

Structure (Quantum ESPRESSO input):
```
&SYSTEM
  ibrav = 0, nat = 9, ntyp = 2
/
ATOMIC_SPECIES
Ta 180.95 Ta.upf
Os 190.23 Os.upf
ATOMIC_POSITIONS angstrom
Ta 0.000 0.000 2.019
Ta 3.289 1.899 0.000
Ta 3.289 -1.899 0.000
Os 0.821 1.422 0.000
Os 1.956 3.388 2.019
Os 0.821 -1.422 0.000
Os 4.936 0.000 0.000
Os 1.956 -3.388 2.019
Os 2.665 0.000 2.019
CELL_PARAMETERS angstrom
3.289 -5.696 0.000
3.289 5.696 0.000
0.000 0.000 4.038
```

Summary:
- V: 151 Å³/cell
- VASP energy: -10.924 eV/atom

=====

An optimized crystal structure of Ta4Os, computed with GGA-PBE. Values from VASP.

Structure (Quantum ESPRESSO input):
```
&SYSTEM
  ibrav = 0, nat = 5, ntyp = 2
/
ATOMIC_SPECIES
Ta 180.95 Ta.upf
Os 190.23 Os.upf
ATOMIC_POSITIONS angstrom
Ta 1.793 0.000 3.724
Ta 0.000 0.000 8.781
Ta 0.000 0.000 6.115
Ta 0.000 1.793 3.724
Os 0.000 0.000 0.000
CELL_PARAMETERS angstrom
-1.793 1.793 7.448
1.793 -1.793 7.448
1.793 1.793 -7.448
```

Summary:
- Polymorph energy (0 for the lowest one): 1177.6 meV/atom
- V: 96 Å³/cell
- VASP energy: -10.793 eV/atom

=====

An optimized crystal structure of Ta7Os, computed with GGA-PBE. Values from VASP.

Structure (Quantum ESPRESSO input):
```
&SYSTEM
  ibrav = 0, nat = 8, ntyp = 2
/
ATOMIC_SPECIES
Ta 180.95 Ta.upf
Os 190.23 Os.upf
ATOMIC_POSITIONS angstrom
Ta 2.084 2.084 0.000
Ta 2.084 4.168 2.084
Ta 4.168 2.084 2.084
Ta 2.084 2.084 4.168
Ta 2.084 0.000 2.084
Ta 0.000 2.084 2.084
Ta 4.168 4.168 4.168
Os 0.000 0.000 0.000
CELL_PARAMETERS angstrom
0.000 4.168 4.168
4.168 0.000 4.168
4.168 4.168 0.000
```

Summary:
- V: 145 Å³/cell
- VASP energy: -11.572 eV/atom

=====

An optimized crystal structure of Ta3Os7, computed with GGA-PBE. Values from VASP.

Structure (Quantum ESPRESSO input):
```
&SYSTEM
  ibrav = 0, nat = 10, ntyp = 2
/
ATOMIC_SPECIES
Ta 180.95 Ta.upf
Os 190.23 Os.upf
ATOMIC_POSITIONS angstrom
Ta 0.000 0.000 0.000
Ta 0.320 3.698 1.043
Ta 3.191 0.851 3.681
Os -0.377 2.469 -1.228
Os 0.734 1.344 2.393
Os 2.776 3.205 2.330
Os 1.838 0.197 5.991
Os 1.673 4.352 -1.268
Os 1.442 2.665 4.701
Os 2.069 1.884 0.022
CELL_PARAMETERS angstrom
3.769 0.000 -1.156
-0.753 4.939 -2.456
0.495 -0.390 8.336
```

Summary:
- V: 154 Å³/cell
- VASP energy: -11.579 eV/atom

=====

An optimized crystal structure of Ta2Os, computed with GGA-PBE. Values from VASP.

Structure (Quantum ESPRESSO input):
```
&SYSTEM
  ibrav = 0, nat = 12, ntyp = 2
/
ATOMIC_SPECIES
Os 190.23 Os.upf
Ta 180.95 Ta.upf
ATOMIC_POSITIONS angstrom
Os -1.428 0.471 1.715
Os -9.208 2.107 6.785
Os -6.838 0.424 6.256
Os -3.981 -0.519 2.826
Ta -4.276 1.411 5.133
Ta -6.360 1.168 3.366
Ta -0.997 1.231 -1.119
Ta -9.457 4.022 9.036
Ta -7.063 2.330 8.479
Ta -3.573 0.249 0.020
Ta -3.784 2.150 2.226
Ta -6.670 3.102 5.691
CELL_PARAMETERS angstrom
-1.948 2.446 -2.294
-2.313 -2.901 -1.129
-6.376 3.034 11.923
```

Summary:
- V: 204 Å³/cell
- VASP energy: -11.697 eV/atom

=====

An optimized crystal structure of Ta2Os, computed with GGA-PBE. Values from VASP.

Structure (Quantum ESPRESSO input):
```
&SYSTEM
  ibrav = 0, nat = 12, ntyp = 2
/
ATOMIC_SPECIES
Os 190.23 Os.upf
Ta 180.95 Ta.upf
ATOMIC_POSITIONS angstrom
Os -5.099 -1.356 3.067
Os -3.442 -3.794 5.168
Os -0.482 -3.719 4.154
Os 1.175 -6.157 6.254
Ta 0.000 0.000 0.000
Ta 1.985 -2.921 2.516
Ta -1.367 -4.431 7.145
Ta -1.911 -6.287 5.420
Ta -0.346 -1.744 1.985
Ta -3.578 -5.769 7.336
Ta -2.013 -1.226 3.902
Ta -2.558 -3.083 2.176
CELL_PARAMETERS angstrom
-3.394 1.053 3.901
-4.502 -2.725 0.388
3.971 -5.841 5.032
```

Summary:
- V: 209 Å³/cell
- VASP energy: -11.115 eV/atom

=====

An optimized crystal structure of Ta5Os3, computed with GGA-PBE. Values from VASP.

Structure (Quantum ESPRESSO input):
```
&SYSTEM
  ibrav = 0, nat = 16, ntyp = 2
/
ATOMIC_SPECIES
Os 190.23 Os.upf
Ta 180.95 Ta.upf
ATOMIC_POSITIONS angstrom
Os 6.218 2.692 3.955
Os 5.441 4.039 1.318
Os 3.109 0.000 3.955
Os 1.554 2.692 1.318
Os 4.664 0.000 1.318
Os 2.332 4.039 3.955
Ta 6.843 1.610 1.318
Ta 4.816 5.121 3.955
Ta 1.859 0.000 1.318
Ta 0.930 1.610 3.955
Ta 7.773 4.488 0.000
Ta 7.773 4.488 2.637
Ta 3.886 2.244 0.000
Ta 3.886 2.244 2.637
Ta 5.914 0.000 3.955
Ta 2.957 5.121 1.318
CELL_PARAMETERS angstrom
7.773 0.000 0.000
3.886 6.731 0.000
0.000 0.000 5.273
```

Summary:
- Polymorph energy (0 for the lowest one): 108.6 meV/atom
- V: 276 Å³/cell
- VASP energy: -11.820 eV/atom

=====

An optimized crystal structure of TaOs2, computed with GGA-PBE. Values from VASP.

Structure (Quantum ESPRESSO input):
```
&SYSTEM
  ibrav = 0, nat = 3, ntyp = 2
/
ATOMIC_SPECIES
Ta 180.95 Ta.upf
Os 190.23 Os.upf
ATOMIC_POSITIONS angstrom
Ta -0.768 -0.273 1.140
Os -1.735 -1.180 -1.452
Os 0.209 -2.502 -0.458
CELL_PARAMETERS angstrom
-3.679 0.141 -2.446
2.153 -3.824 0.536
-1.536 -0.545 2.279
```

Summary:
- V: 47 Å³/cell
- VASP energy: -11.427 eV/atom

=====

An optimized crystal structure of Ta2Os3, computed with GGA-PBE. Values from VASP.

Structure (Quantum ESPRESSO input):
```
&SYSTEM
  ibrav = 0, nat = 10, ntyp = 2
/
ATOMIC_SPECIES
Os 190.23 Os.upf
Ta 180.95 Ta.upf
ATOMIC_POSITIONS angstrom
Os 2.055 5.099 5.385
Os 1.858 2.377 1.292
Os -0.640 5.097 4.630
Os 0.325 4.592 2.046
Os 0.137 0.262 0.000
Os 3.992 2.482 3.338
Ta 3.831 2.953 5.970
Ta -0.918 2.614 0.706
Ta 1.137 2.951 4.044
Ta 2.937 4.833 2.632
CELL_PARAMETERS angstrom
5.389 0.005 0.000
-3.068 4.430 0.000
1.161 2.217 6.676
```

Summary:
- Polymorph energy (0 for the lowest one): 0.0 meV/atom
- V: 159 Å³/cell
- VASP energy: -11.632 eV/atom

=====

An optimized crystal structure of TaOs2, computed with GGA-PBE. Values from VASP.

Structure (Quantum ESPRESSO input):
```
&SYSTEM
  ibrav = 0, nat = 12, ntyp = 2
/
ATOMIC_SPECIES
Os 190.23 Os.upf
Ta 180.95 Ta.upf
ATOMIC_POSITIONS angstrom
Os -1.838 0.846 0.797
Os -3.297 2.994 1.676
Os -3.481 -0.879 -0.950
Os -6.216 3.273 1.321
Os -3.033 2.028 -1.369
Os -5.768 6.180 0.902
Os -5.953 2.307 -1.724
Os -7.411 4.455 -0.845
Ta -4.570 4.982 3.006
Ta -4.719 1.077 0.459
Ta -4.530 4.224 -0.507
Ta -4.679 0.319 -3.053
CELL_PARAMETERS angstrom
-2.094 1.899 -4.655
-3.391 -2.508 0.502
-3.764 5.911 4.105
```

Summary:
- V: 188 Å³/cell
- VASP energy: -11.579 eV/atom

=====

An optimized crystal structure of Ta2Os, computed with GGA-PBE. Values from VASP.

Structure (Quantum ESPRESSO input):
```
&SYSTEM
  ibrav = 0, nat = 3, ntyp = 2
/
ATOMIC_SPECIES
Os 190.23 Os.upf
Ta 180.95 Ta.upf
ATOMIC_POSITIONS angstrom
Os 0.000 0.000 0.000
Ta -4.662 -5.729 -3.222
Ta -1.554 -1.910 -1.074
CELL_PARAMETERS angstrom
-1.596 -1.632 -3.746
-0.569 -4.327 -0.440
-4.051 -1.680 -0.111
```

Summary:
- V: 60 Å³/cell
- VASP energy: -11.543 eV/atom

=====

An optimized crystal structure of TaOs2, computed with GGA-PBE. Values from VASP.

Structure (Quantum ESPRESSO input):
```
&SYSTEM
  ibrav = 0, nat = 3, ntyp = 2
/
ATOMIC_SPECIES
Os 190.23 Os.upf
Ta 180.95 Ta.upf
ATOMIC_POSITIONS angstrom
Os 0.142 0.046 0.000
Os 7.577 2.456 0.000
Ta 3.860 1.251 0.000
CELL_PARAMETERS angstrom
6.397 0.001 0.000
5.182 3.751 0.000
-5.789 -1.876 1.971
```

Summary:
- V: 47 Å³/cell
- VASP energy: -11.538 eV/atom

=====

An optimized crystal structure of TaOs2, computed with GGA-PBE. Values from VASP.

Structure (Quantum ESPRESSO input):
```
&SYSTEM
  ibrav = 0, nat = 12, ntyp = 2
/
ATOMIC_SPECIES
Os 190.23 Os.upf
Ta 180.95 Ta.upf
ATOMIC_POSITIONS angstrom
Os 1.967 -3.275 -1.601
Os 3.104 -5.168 -2.527
Os -0.127 -5.427 -3.900
Os 5.198 -3.015 -0.228
Os 5.004 -2.445 -3.697
Os 0.066 -5.998 -0.432
Os 3.298 -5.738 0.942
Os 1.773 -2.705 -5.070
Ta 0.000 0.000 0.000
Ta 2.748 -1.330 -3.112
Ta -0.524 -3.916 -1.843
Ta 2.847 -3.197 0.826
CELL_PARAMETERS angstrom
-0.623 -2.049 -5.781
6.119 -0.611 -0.442
-0.426 -5.783 2.095
```

Summary:
- V: 234 Å³/cell
- VASP energy: -10.215 eV/atom

=====

An optimized crystal structure of TaOs4, computed with GGA-PBE. Values from VASP.

Structure (Quantum ESPRESSO input):
```
&SYSTEM
  ibrav = 0, nat = 5, ntyp = 2
/
ATOMIC_SPECIES
Ta 180.95 Ta.upf
Os 190.23 Os.upf
ATOMIC_POSITIONS angstrom
Ta 0.000 0.000 0.000
Os 1.907 0.000 2.887
Os 0.000 0.000 6.949
Os 0.000 0.000 4.598
Os 0.000 1.907 2.887
CELL_PARAMETERS angstrom
-1.907 1.907 5.774
1.907 -1.907 5.774
1.907 1.907 -5.774
```

Summary:
- Polymorph energy (0 for the lowest one): 514.3 meV/atom
- V: 84 Å³/cell
- VASP energy: -10.877 eV/atom

=====

An optimized crystal structure of TaOs2, computed with GGA-PBE. Values from VASP.

Structure (Quantum ESPRESSO input):
```
&SYSTEM
  ibrav = 0, nat = 6, ntyp = 2
/
ATOMIC_SPECIES
Ta 180.95 Ta.upf
Os 190.23 Os.upf
ATOMIC_POSITIONS angstrom
Ta 2.315 -1.443 5.393
Ta -6.442 0.473 -2.177
Os -3.804 1.424 -1.593
Os -3.418 -0.944 1.276
Os -0.709 -0.026 1.940
Os -0.323 -2.394 4.810
CELL_PARAMETERS angstrom
3.984 -1.131 6.085
-5.101 3.126 -4.288
-3.011 -2.965 1.420
```

Summary:
- V: 94 Å³/cell
- VASP energy: -11.499 eV/atom